(1)
A plane-wave DFT calculation with PBE-GGA was carried out for crystalline HoAgB4 at its relaxed geometry.

Cell and atoms, written as POSCAR:
```
HoAgB4
1.0
-1.582 2.702 3.925
1.582 -2.702 3.925
1.582 2.702 -3.925
B Ho Ag
4 1 1
direct
0.919 0.239 0.680
0.081 0.761 0.320
0.559 0.239 0.320
0.441 0.761 0.680
0.500 0.500 0.000
0.000 0.000 0.000
```

Space-group type ... No. 71
Energy above the lowest structure with this stoichiometry ... 0.0 meV per atom



(2)
A plane-wave DFT calculation with PBE-GGA was carried out for crystalline NaNiTe3Au at its relaxed geometry.

Cell and atoms, written as POSCAR:
```
NaNiTe3Au
1.0
-3.190 2.037 -0.282
-3.939 -1.775 6.199
4.803 8.269 5.419
Ni Te Na Au
2 6 2 2
direct
0.000 0.000 0.000
0.000 0.000 0.500
0.620 0.761 0.991
0.380 0.239 0.009
0.050 0.899 0.250
0.950 0.101 0.750
0.380 0.239 0.491
0.620 0.761 0.509
0.266 0.468 0.750
0.734 0.532 0.250
0.611 0.778 0.750
0.389 0.222 0.250
```

Space-group type ... No. 63
Raw total energy ... -3.498 eV/atom



(3)
A plane-wave DFT calculation with PBE-GGA was carried out for crystalline Rb2NdGdO4 at its relaxed geometry.

Cell and atoms, written as POSCAR:
```
Rb2NdGdO4
1.0
-0.682 -3.273 1.247
-0.123 0.634 -3.509
12.580 -2.997 -0.983
O Rb Gd Nd
4 2 1 1
direct
0.333 0.667 0.088
0.667 0.333 0.595
0.667 0.333 0.912
0.333 0.667 0.405
0.333 0.667 0.752
0.667 0.333 0.248
0.000 0.000 0.000
0.000 0.000 0.500
```

Space-group type ... No. 164
Raw total energy ... -6.495 eV/atom



(4)
A plane-wave DFT calculation with PBE-GGA was carried out for crystalline Li2HfZrIn2Ni2 at its relaxed geometry.

Cell and atoms, written as POSCAR:
```
Li2HfZrIn2Ni2
1.0
-2.145 -1.435 -3.646
-1.473 -3.557 2.266
-5.136 3.240 1.747
Ni In Li Hf Zr
2 2 2 1 1
direct
0.000 0.500 0.752
0.500 0.000 0.248
0.500 0.500 0.000
0.000 0.000 0.500
0.500 0.000 0.750
0.000 0.500 0.250
0.000 0.000 0.000
0.500 0.500 0.500
```

Space-group type ... No. 115
Raw total energy ... -5.248 eV/atom



(5)
A plane-wave DFT calculation with PBE-GGA was carried out for crystalline HfMg2Nb at its relaxed geometry.

Cell and atoms, written as POSCAR:
```
HfMg2Nb
1.0
2.593 -3.847 -1.483
-2.224 -4.243 -0.882
-0.438 -1.616 -4.574
Nb Hf Mg
1 1 2
direct
0.750 0.750 0.750
0.500 0.500 0.500
0.000 0.000 0.000
0.250 0.250 0.250
```

Space-group type ... No. 216
Raw total energy ... -5.406 eV/atom



(6)
A plane-wave DFT calculation with PBE-GGA was carried out for crystalline TbAuSO at its relaxed geometry.

Cell and atoms, written as POSCAR:
```
TbAuSO
1.0
-2.702 4.625 -1.719
-4.004 -0.918 3.823
4.636 4.956 6.046
O S Tb Au
4 4 4 4
direct
0.750 0.250 0.000
0.750 0.750 0.000
0.250 0.750 0.000
0.250 0.250 0.000
0.500 0.500 0.717
0.000 0.500 0.284
0.000 0.000 0.717
0.500 0.000 0.284
0.500 0.500 0.122
0.500 0.000 0.877
0.000 0.500 0.877
0.000 0.000 0.122
0.995 0.250 0.500
0.495 0.250 0.500
0.005 0.750 0.500
0.505 0.750 0.500
```

Space-group type ... No. 32
Energy above the lowest structure with this stoichiometry ... 31.9 meV per atom